The following is a DFT calculation (GGA-PBE) of KSe2 after structural relaxation.

Values from the calculation:
Density of states at the Fermi level ... 0.027 states/eV per atom

Cell: 10.6238 6.3656 6.8653 Å, 90.00 107.18 90.00°
With the nearest neighbours (Å) after each atom.
Space group C2/m (No. 12)
Symmetry-distinct sites (fractional):
K 0.1929 0.0000 0.2363  6 Se 3.29-3.53
Se 0.0439 0.5000 0.1895  2 Se 2.36-2.49
Se 0.2252 0.0000 0.7474  1 Se 2.36

The following is a DFT calculation (GGA-PBE) of KSe2 after structural relaxation.

Cell: 4.8564 5.4316 8.0681 Å, 79.48 76.36 81.49°
With the nearest neighbours (Å) after each atom.
Space group P1 (No. 1)
Symmetry-distinct sites (fractional):
K 0.0000 0.0000 0.0000  7 Se 3.37-3.66
K 0.0447 0.6039 0.5967  7 Se 3.28-3.63
Se 0.2772 0.3086 0.2392  2 Se 2.37-2.40
Se 0.5406 0.0092 0.4185  2 Se 2.40-2.41
Se 0.5556 0.5483 0.9997  1 Se 2.37
Se 0.5768 0.1793 0.6677  1 Se 2.41

The following is a DFT calculation (GGA-PBE) of KSe2 after structural relaxation.

Values from the calculation:
Density of states at the Fermi level ... 0.756 states/eV per atom

Cell: 3.3067 3.3067 14.0123 Å, 90.00 90.00 90.00°
With the nearest neighbours (Å) after each atom.
Space group I4/mmm (No. 139)
Symmetry-distinct sites (fractional):
K 0.0000 0.0000 0.0000  4 K 3.31, 8 Se 3.37
Se 0.0000 0.0000 0.3263  8 Se 3.17-3.31, 4 K 3.37

The following is a DFT calculation (GGA-PBE) of KSe2 after structural relaxation.

Values from the calculation:
Density of states at the Fermi level ... 0.710 states/eV per atom

Cell: 2.9663 2.9663 18.7901 Å, 90.00 90.00 90.00°
With the nearest neighbours (Å) after each atom.
Space group I4/mmm (No. 139)
Symmetry-distinct sites (fractional):
K 0.0000 0.0000 0.0000  4 K 2.97, 8 Se 3.31
Se 0.0000 0.0000 0.3638  4 Se 2.97, 4 K 3.31

ΔE_f (raw) values (in eV per atom) by entry order: -0.620 -0.651 0.015 -0.195.